P:
Density functional theory data (GGA-PBE) for a relaxed structure of Be3BiBr.

Summary:
* magnetization: 0.00 Bohr magnetons per cell
* density of states at the Fermi level: 1.09 states/eV per cell

Cell: 4.5782 4.5782 4.5782 Å, 90.00 90.00 90.00°
Closest atoms and distances in Å follow each position.
Fractional coordinates of all 5 atoms:
Br 0.0000 0.0000 0.0000  6 Be 2.29
Be 0.0000 0.0000 0.5000  2 Br 2.29
Be 0.5000 0.0000 0.0000  2 Br 2.29
Be 0.0000 0.5000 0.0000  2 Br 2.29
Bi 0.5000 0.5000 0.5000  12 Be 3.24

---

Q:
Density functional theory data (GGA-PBE) for a relaxed structure of Be3BiBr.

Summary:
* magnetization: 0.00 Bohr magnetons per cell
* density of states at the Fermi level: 2.30 states/eV per cell

Cell: 5.0426 5.0426 5.0426 Å, 90.00 90.00 90.00°
Closest atoms and distances in Å follow each position.
Fractional coordinates of all 5 atoms:
Be 0.0000 0.0000 0.5000  2 Bi 2.52
Be 0.0000 0.5000 0.0000  2 Bi 2.52
Be 0.5000 0.0000 0.0000  2 Bi 2.52
Br 0.5000 0.5000 0.5000  12 Be 3.57
Bi 0.0000 0.0000 0.0000  6 Be 2.52

---

Energy ordering: Q at the bottom, the next structure 32 meV per atom above.

---

P:
Density functional theory data (GGA-PBE) for a relaxed structure of BeBiBr2.

Summary:
* magnetization: 0.00 Bohr magnetons per cell
* density of states at the Fermi level: 3.13 states/eV per cell

Cell: 6.9552 6.9552 6.8741 Å, 59.61 59.61 90.00°
Closest atoms and distances in Å follow each position.
Fractional coordinates of all 8 atoms:
Be 0.5000 0.5000 0.0000  4 Br 2.19
Be 0.2500 0.7500 0.5000  4 Br 2.19
Br 0.2936 0.6250 0.2500  2 Be 2.19
Br 0.8750 0.7064 0.7500  2 Be 2.19
Br 0.4564 0.1250 0.2500  2 Be 2.19
Br 0.3750 0.5436 0.7500  2 Be 2.19
Bi 0.7500 0.2500 0.5000  4 Br 3.60
Bi 0.0000 0.0000 0.0000  4 Br 3.60

---

Q:
Density functional theory data (GGA-PBE) for a relaxed structure of BeBiBr2.

Summary:
* magnetization: 0.00 Bohr magnetons per cell
* density of states at the Fermi level: 2.10 states/eV per cell

Cell: 5.2062 5.2062 5.2062 Å, 60.00 60.00 60.00°
Closest atoms and distances in Å follow each position.
Fractional coordinates of all 4 atoms:
Br 0.2500 0.2500 0.2500  4 Bi 3.19, 4 Be 3.19
Br 0.7500 0.7500 0.7500  4 Bi 3.19, 4 Be 3.19
Be 0.0000 0.0000 0.0000  8 Br 3.19
Bi 0.5000 0.5000 0.5000  8 Br 3.19

---

Energy ordering: P at the bottom, the next structure 575 meV per atom above.